Nd7Ho16Tm6: relaxed, PBE-GGA.

Results
Space-group type   Fm-3m
E_form   0.188 eV per atom
Calculated volume   32.445 Å³ per atom
D(E_F)   48.31 states/eV/cell

Lattice parameters (Å, degrees): 10.999 10.999 10.999 60.00 60.00 60.00
Sites, in units of the cell vectors:
Nd1 0.000 0.000 0.000
Nd2 0.500 0.000 0.500
Nd3 0.000 0.500 0.000
Nd4 0.000 0.500 0.500
Nd5 0.500 0.000 0.000
Nd6 0.000 0.000 0.500
Nd7 0.500 0.500 0.000
Ho1 0.850 0.850 0.449
Ho2 0.850 0.850 0.850
Ho3 0.850 0.449 0.850
Ho4 0.449 0.850 0.850
Ho5 0.150 0.150 0.150
Ho6 0.150 0.150 0.551
Ho7 0.150 0.551 0.150
Ho8 0.551 0.150 0.150
Ho9 0.613 0.613 0.162
Ho10 0.613 0.613 0.613
Ho11 0.613 0.162 0.613
Ho12 0.162 0.613 0.613
Ho13 0.387 0.387 0.387
Ho14 0.387 0.387 0.838
Ho15 0.387 0.838 0.387
Ho16 0.838 0.387 0.387
Tm1 0.225 0.775 0.225
Tm2 0.775 0.225 0.775
Tm3 0.775 0.225 0.225
Tm4 0.225 0.775 0.775
Tm5 0.775 0.775 0.225
Tm6 0.225 0.225 0.775



CdFeMo2: relaxed, PBE-GGA.

Results
Space-group type   R3m
E_form   0.418 eV per atom
Calculated volume   16.099 Å³ per atom
D(E_F)   4.32 states/eV/cell

Lattice parameters (Å, degrees): 9.294 9.294 9.294 17.65 17.65 17.65
Sites, in units of the cell vectors:
Cd1 0.495 0.495 0.495
Fe1 0.743 0.743 0.743
Mo1 0.007 0.007 0.007
Mo2 0.255 0.255 0.255



CsRb2PS4: relaxed, PBE-GGA.

Results
Space-group type   Imma
Uncorrected formation energy   -0.5383 eV/atom
Calculated volume   33.642 Å³ per atom
D(E_F)   9.75 states/eV/cell

Lattice parameters (Å, degrees): 8.901 8.901 10.655 126.75 126.75 73.58
Sites, in units of the cell vectors:
Cs1 0.000 0.500 0.000
Cs2 0.000 0.500 0.500
Rb1 0.500 0.000 0.000
Rb2 0.500 0.000 0.500
Rb3 0.000 0.000 0.500
Rb4 0.500 0.500 0.000
P1 0.500 0.500 0.500
P2 0.000 0.000 0.000
S1 0.214 0.810 0.012
S2 0.690 0.286 0.488
S3 0.310 0.714 0.512
S4 0.786 0.190 0.988
S5 0.000 0.000 0.202
S6 0.500 0.500 0.298
S7 0.500 0.500 0.702
S8 0.000 0.000 0.798